The following is a DFT calculation (PBE) of a relaxed InGa3Pd crystal.

Summary:
Spin magnetization   0.0 μB/cell
Space group   No. 221

a b c (Å): 4.878 4.878 4.878
angles (deg): 90.00 90.00 90.00
Fractional coordinates of all 5 atoms:
1 In 0.500 0.500 0.500
2 Ga 0.500 0.000 0.000
3 Ga 0.000 0.000 0.500
4 Ga 0.000 0.500 0.000
5 Pd 0.000 0.000 0.000

---

The following is a DFT calculation (PBE) of a relaxed InGa2Pd2 crystal.

Summary:
Spin magnetization   0.0 μB/cell
Space group   No. 164

a b c (Å): 4.549 4.549 5.149
angles (deg): 90.06 90.06 59.98
Fractional coordinates of all 5 atoms:
1 In 0.500 0.000 0.000
2 Ga 0.167 0.667 0.358
3 Ga 0.833 0.333 0.642
4 Pd 0.833 0.333 0.153
5 Pd 0.167 0.667 0.847

---

The following is a DFT calculation (PBE) of a relaxed InGa2Pd2 crystal.

Summary:
Spin magnetization   0.0 μB/cell
Space group   No. 127

a b c (Å): 7.753 7.753 2.869
angles (deg): 90.00 90.00 90.00
Fractional coordinates of all 10 atoms:
1 Pd 0.828 0.328 0.500
2 Pd 0.672 0.828 0.500
3 Pd 0.172 0.672 0.500
4 Pd 0.328 0.172 0.500
5 In 0.000 0.000 0.000
6 In 0.500 0.500 0.000
7 Ga 0.124 0.376 0.000
8 Ga 0.876 0.624 0.000
9 Ga 0.376 0.876 0.000
10 Ga 0.624 0.124 0.000

---

The following is a DFT calculation (PBE) of a relaxed In2GaPd6 crystal.

Summary:
Spin magnetization   0.0 μB/cell
Space group   No. 12

a b c (Å): 4.257 6.194 7.444
angles (deg): 114.59 106.68 90.00
Fractional coordinates of all 9 atoms:
1 Pd 0.839 0.076 0.678
2 Pd 0.161 0.924 0.322
3 Pd 0.500 0.771 0.000
4 Pd 0.161 0.398 0.322
5 Pd 0.500 0.229 0.000
6 Pd 0.839 0.602 0.678
7 In 0.337 0.337 0.673
8 In 0.663 0.663 0.327
9 Ga 0.000 0.000 0.000

---

The following is a DFT calculation (PBE) of a relaxed InGa2Pd7 crystal.

Summary:
Spin magnetization   0.0 μB/cell
Space group   No. 139

a b c (Å): 4.120 4.120 10.241
angles (deg): 101.61 101.61 90.00
Fractional coordinates of all 10 atoms:
1 Pd 0.250 0.750 0.500
2 Pd 0.100 0.600 0.200
3 Pd 0.600 0.100 0.200
4 Pd 0.900 0.400 0.800
5 Pd 0.750 0.250 0.500
6 Pd 0.400 0.900 0.800
7 Pd 0.500 0.500 0.000
8 Ga 0.325 0.325 0.651
9 Ga 0.675 0.675 0.349
10 In 0.000 0.000 0.000

---

The following is a DFT calculation (PBE) of a relaxed InGaPd6 crystal.

Summary:
Spin magnetization   0.0 μB/cell
Space group   No. 123

a b c (Å): 3.996 3.996 7.897
angles (deg): 90.00 90.00 90.00
Fractional coordinates of all 8 atoms:
1 Pd 0.500 0.000 0.740
2 Pd 0.500 0.500 0.000
3 Pd 0.500 0.500 0.500
4 Pd 0.000 0.500 0.260
5 Pd 0.000 0.500 0.740
6 Pd 0.500 0.000 0.260
7 In 0.000 0.000 0.000
8 Ga 0.000 0.000 0.500

---

How do the records compare in DFT total energy? In the order shown, they have -3.47, -4.31, -4.21, -4.76, -5.01, -5.05 eV per atom.
How do the records compare in formation energy? In the order shown, they have -67, -478, -371, -352, -494, -436 meV/atom.